1.
# Pr8Dy3Er4 PBE relaxed
# V   34.5 Å³/atom
# ρ   7.32 g/cm3
# D(E_F)   22.21 states/eV/f.u.
# Raw total energy   -130.65 eV per cell
# Energy of formation from the pure elements   331 meV per atom
data_Pr8Dy3Er4
_space_group_name_H-M_alt 'C 1 2/m 1'
_space_group_IT_number 12
_cell_length_a 13.888
_cell_length_b 12.248
_cell_length_c 6.915
_cell_angle_alpha 90.00
_cell_angle_beta 118.31
_cell_angle_gamma 90.00
loop_
_space_group_symop_operation_xyz
'x,y,z'
'-x,-y,-z'
'-x,y,-z'
'x,-y,z'
'x+1/2,y+1/2,z'
'-x+1/2,-y+1/2,-z'
'-x+1/2,y+1/2,-z'
'x+1/2,-y+1/2,z'
loop_
_atom_site_label
_atom_site_type_symbol
_atom_site_fract_x
_atom_site_fract_y
_atom_site_fract_z
Pr1 Pr 0.000 0.207 0.000
Pr2 Pr 0.000 0.254 0.500
Pr3 Pr 0.205 0.000 0.186
Pr4 Pr 0.245 0.500 0.274
Dy1 Dy 0.000 0.000 0.500
Dy2 Dy 0.250 0.250 0.500
Er1 Er 0.000 0.500 0.000
Er2 Er 0.000 0.500 0.500
Er3 Er 0.250 0.250 0.000

2.
# PrDy2Er6 PBE relaxed
# V   35.1 Å³/atom
# ρ   7.73 g/cm3
# D(E_F)   15.26 states/eV/f.u.
# Raw total energy   -113.60 eV per cell
# Energy of formation from the pure elements   388 meV per atom
data_PrDy2Er6
_space_group_name_H-M_alt 'R 3 m'
_space_group_IT_number 160
_space_group_name_Hall 'R 3 -2"'
_cell_length_a 6.8893
_cell_length_b 6.8893
_cell_length_c 23.0348
_cell_angle_alpha 90.00
_cell_angle_beta 90.00
_cell_angle_gamma 120.00
loop_
_atom_site_label
_atom_site_type_symbol
_atom_site_fract_x
_atom_site_fract_y
_atom_site_fract_z
Pr1 Pr 0.0000 0.0000 0.0000
Dy1 Dy 0.0000 0.0000 0.2463
Dy2 Dy 0.0000 0.0000 0.4120
Er1 Er 0.0048 0.5024 0.2213
Er2 Er 0.1697 0.3394 0.7773

3.
# PrDy7Er5 PBE relaxed
# V   31.7 Å³/atom
# ρ   8.53 g/cm3
# D(E_F)   23.89 states/eV/f.u.
# Raw total energy   -116.41 eV per cell
# Energy of formation from the pure elements   124 meV per atom
data_PrDy7Er5
_space_group_name_H-M_alt 'I m m 2'
_space_group_IT_number 44
_cell_length_a 5.349
_cell_length_b 12.403
_cell_length_c 12.414
_cell_angle_alpha 90.00
_cell_angle_beta 90.00
_cell_angle_gamma 90.00
loop_
_space_group_symop_operation_xyz
'x,y,z'
'-x,-y,z'
'-x,y,z'
'x,-y,z'
'x+1/2,y+1/2,z+1/2'
'-x+1/2,-y+1/2,z+1/2'
'-x+1/2,y+1/2,z+1/2'
'x+1/2,-y+1/2,z+1/2'
loop_
_atom_site_label
_atom_site_type_symbol
_atom_site_fract_x
_atom_site_fract_y
_atom_site_fract_z
Pr1 Pr 0.000 0.000 0.000
Dy1 Dy 0.000 0.000 0.377
Dy2 Dy 0.000 0.000 0.621
Dy3 Dy 0.000 0.289 0.499
Dy4 Dy 0.000 0.378 0.999
Dy5 Dy 0.000 0.500 0.288
Er1 Er 0.000 0.196 0.196
Er2 Er 0.000 0.197 0.803
Er3 Er 0.000 0.500 0.710

4.
# Pr15DyEr4 PBE relaxed
# V   34.7 Å³/atom
# ρ   7.04 g/cm3
# D(E_F)   26.41 states/eV/f.u.
# Raw total energy   -94.36 eV per cell
# Energy of formation from the pure elements   9 meV per atom
data_Pr15DyEr4
_space_group_name_H-M_alt 'P 4/m m m'
_space_group_IT_number 123
_space_group_name_Hall '-P 4 2'
_cell_length_a 5.187
_cell_length_b 5.187
_cell_length_c 25.812
_cell_angle_alpha 90.00
_cell_angle_beta 90.00
_cell_angle_gamma 90.00
loop_
_atom_site_label
_atom_site_type_symbol
_atom_site_fract_x
_atom_site_fract_y
_atom_site_fract_z
Pr1 Pr 0.000 0.000 0.000
Pr2 Pr 0.000 0.000 0.200
Pr3 Pr 0.000 0.000 0.400
Pr4 Pr 0.000 0.500 0.100
Pr5 Pr 0.000 0.500 0.300
Pr6 Pr 0.000 0.500 0.500
Dy1 Dy 0.500 0.500 0.000
Er1 Er 0.500 0.500 0.200
Er2 Er 0.500 0.500 0.400

5.
# PrDy6Er12 PBE relaxed
# V   33.8 Å³/atom
# ρ   8.08 g/cm3
# D(E_F)   23.94 states/eV/f.u.
# Raw total energy   -236.30 eV per cell
# Energy of formation from the pure elements   441 meV per atom
data_PrDy6Er12
_space_group_name_H-M_alt 'R -3 m'
_space_group_IT_number 166
_space_group_name_Hall '-R 3 2"'
_cell_length_a 15.0017
_cell_length_b 15.0017
_cell_length_c 9.8844
_cell_angle_alpha 90.00
_cell_angle_beta 90.00
_cell_angle_gamma 120.00
loop_
_atom_site_label
_atom_site_type_symbol
_atom_site_fract_x
_atom_site_fract_y
_atom_site_fract_z
Pr1 Pr 0.0000 0.0000 0.0000
Dy1 Dy 0.0488 0.5244 0.2085
Er1 Er 0.0000 0.3901 0.5000
Er2 Er 0.0719 0.1438 0.2970

6.
# PrDy4Er7 PBE relaxed
# V   32.5 Å³/atom
# ρ   8.35 g/cm3
# D(E_F)   20.67 states/eV/f.u.
# Raw total energy   -103.58 eV per cell
# Energy of formation from the pure elements   278 meV per atom
data_PrDy4Er7
_space_group_name_H-M_alt 'C 1 2/m 1'
_space_group_IT_number 12
_cell_length_a 12.046
_cell_length_b 5.836
_cell_length_c 12.559
_cell_angle_alpha 90.00
_cell_angle_beta 117.95
_cell_angle_gamma 90.00
loop_
_space_group_symop_operation_xyz
'x,y,z'
'-x,-y,-z'
'-x,y,-z'
'x,-y,z'
'x+1/2,y+1/2,z'
'-x+1/2,-y+1/2,-z'
'-x+1/2,y+1/2,-z'
'x+1/2,-y+1/2,z'
loop_
_atom_site_label
_atom_site_type_symbol
_atom_site_fract_x
_atom_site_fract_y
_atom_site_fract_z
Pr1 Pr 0.000 0.000 0.000
Dy1 Dy 0.132 0.500 0.775
Dy2 Dy 0.248 0.000 0.682
Er1 Er 0.000 0.500 0.000
Er2 Er 0.060 0.000 0.330
Er3 Er 0.135 0.500 0.503
Er4 Er 0.211 0.000 0.923

7.
# PrDy3Er5 PBE relaxed
# V   34.2 Å³/atom
# ρ   7.90 g/cm3
# D(E_F)   13.94 states/eV/f.u.
# Raw total energy   -150.51 eV per cell
# Energy of formation from the pure elements   419 meV per atom
data_PrDy3Er5
_space_group_name_H-M_alt 'C 1 2/m 1'
_space_group_IT_number 12
_cell_length_a 16.795
_cell_length_b 7.934
_cell_length_c 12.169
_cell_angle_alpha 90.00
_cell_angle_beta 130.61
_cell_angle_gamma 90.00
loop_
_space_group_symop_operation_xyz
'x,y,z'
'-x,-y,-z'
'-x,y,-z'
'x,-y,z'
'x+1/2,y+1/2,z'
'-x+1/2,-y+1/2,-z'
'-x+1/2,y+1/2,-z'
'x+1/2,-y+1/2,z'
loop_
_atom_site_label
_atom_site_type_symbol
_atom_site_fract_x
_atom_site_fract_y
_atom_site_fract_z
Pr1 Pr 0.237 0.000 0.133
Dy1 Dy 0.000 0.000 0.000
Dy2 Dy 0.000 0.500 0.500
Dy3 Dy 0.120 0.500 0.315
Dy4 Dy 0.172 0.000 0.341
Er1 Er 0.000 0.321 0.000
Er2 Er 0.065 0.206 0.781
Er3 Er 0.122 0.000 0.566
Er4 Er 0.201 0.500 0.072

8.
# PrDy5Er4 PBE relaxed
# V   31.9 Å³/atom
# ρ   8.46 g/cm3
# D(E_F)   16.11 states/eV/f.u.
# Raw total energy   -45.40 eV per cell
# Energy of formation from the pure elements   64 meV per atom
data_PrDy5Er4
_space_group_name_H-M_alt 'P -1'
_space_group_IT_number 2
_cell_length_a 3.552
_cell_length_b 6.641
_cell_length_c 14.138
_cell_angle_alpha 98.92
_cell_angle_beta 93.55
_cell_angle_gamma 103.60
loop_
_space_group_symop_operation_xyz
'x,y,z'
'-x,-y,-z'
loop_
_atom_site_label
_atom_site_type_symbol
_atom_site_fract_x
_atom_site_fract_y
_atom_site_fract_z
Pr1 Pr 0.000 0.000 0.000
Dy1 Dy 0.205 0.881 0.584
Dy2 Dy 0.495 0.427 0.615
Dy3 Dy 0.500 0.500 0.000
Er1 Er 0.110 0.807 0.217
Er2 Er 0.207 0.731 0.803

9.
# Pr3DyEr6 PBE relaxed
# V   33.3 Å³/atom
# ρ   7.92 g/cm3
# D(E_F)   17.71 states/eV/f.u.
# Raw total energy   -88.08 eV per cell
# Energy of formation from the pure elements   228 meV per atom
data_Pr3DyEr6
_space_group_name_H-M_alt 'C 1 2/m 1'
_space_group_IT_number 12
_cell_length_a 11.542
_cell_length_b 6.555
_cell_length_c 9.718
_cell_angle_alpha 90.00
_cell_angle_beta 115.01
_cell_angle_gamma 90.00
loop_
_space_group_symop_operation_xyz
'x,y,z'
'-x,-y,-z'
'-x,y,-z'
'x,-y,z'
'x+1/2,y+1/2,z'
'-x+1/2,-y+1/2,-z'
'-x+1/2,y+1/2,-z'
'x+1/2,-y+1/2,z'
loop_
_atom_site_label
_atom_site_type_symbol
_atom_site_fract_x
_atom_site_fract_y
_atom_site_fract_z
Pr1 Pr 0.000 0.000 0.000
Pr2 Pr 0.072 0.000 0.700
Dy1 Dy 0.000 0.500 0.500
Er1 Er 0.136 0.500 0.921
Er2 Er 0.186 0.254 0.313

10.
# Pr4Dy3Er2 PBE relaxed
# V   33.3 Å³/atom
# ρ   7.69 g/cm3
# D(E_F)   12.87 states/eV/f.u.
# Raw total energy   -166.28 eV per cell
# Energy of formation from the pure elements   53 meV per atom
data_Pr4Dy3Er2
_space_group_name_H-M_alt 'C 1 2/c 1'
_space_group_IT_number 15
_cell_length_a 17.134
_cell_length_b 9.837
_cell_length_c 7.105
_cell_angle_alpha 90.00
_cell_angle_beta 90.03
_cell_angle_gamma 90.00
loop_
_space_group_symop_operation_xyz
'x,y,z'
'-x,-y,-z'
'-x,y,-z+1/2'
'x,-y,z+1/2'
'x+1/2,y+1/2,z'
'-x+1/2,-y+1/2,-z'
'-x+1/2,y+1/2,-z+1/2'
'x+1/2,-y+1/2,z+1/2'
loop_
_atom_site_label
_atom_site_type_symbol
_atom_site_fract_x
_atom_site_fract_y
_atom_site_fract_z
Pr1 Pr 0.013 0.165 0.000
Pr2 Pr 0.161 0.316 0.500
Dy1 Dy 0.000 0.500 0.250
Dy2 Dy 0.172 0.000 0.250
Er1 Er 0.173 0.349 0.000

11.
# Pr4Dy8Er PBE relaxed
# V   36.9 Å³/atom
# ρ   7.04 g/cm3
# D(E_F)   23.41 states/eV/f.u.
# Raw total energy   -161.24 eV per cell
# Energy of formation from the pure elements   519 meV per atom
data_Pr4Dy8Er
_space_group_name_H-M_alt 'R -3 m'
_space_group_IT_number 166
_space_group_name_Hall '-R 3 2"'
_cell_length_a 11.0785
_cell_length_b 11.0785
_cell_length_c 13.5289
_cell_angle_alpha 90.00
_cell_angle_beta 90.00
_cell_angle_gamma 120.00
loop_
_atom_site_label
_atom_site_type_symbol
_atom_site_fract_x
_atom_site_fract_y
_atom_site_fract_z
Pr1 Pr 0.0000 0.0000 0.0000
Pr2 Pr 0.0000 0.5000 0.0000
Dy1 Dy 0.0000 0.0000 0.2400
Dy2 Dy 0.0130 0.5065 0.7461
Er1 Er 0.0000 0.0000 0.5000

12.
# Pr4Dy2Er PBE relaxed
# V   34.3 Å³/atom
# ρ   7.30 g/cm3
# D(E_F)   10.70 states/eV/f.u.
# Raw total energy   -259.60 eV per cell
# Energy of formation from the pure elements   62 meV per atom
data_Pr4Dy2Er
_space_group_name_H-M_alt 'F d d 2'
_space_group_IT_number 43
_space_group_name_Hall 'F 2 -2d'
_cell_length_a 12.082
_cell_length_b 24.452
_cell_length_c 6.505
_cell_angle_alpha 90.00
_cell_angle_beta 90.00
_cell_angle_gamma 90.00
loop_
_atom_site_label
_atom_site_type_symbol
_atom_site_fract_x
_atom_site_fract_y
_atom_site_fract_z
Pr1 Pr 0.052 0.070 0.000
Pr2 Pr 0.069 0.144 0.531
Dy1 Dy 0.024 0.216 0.054
Er1 Er 0.000 0.000 0.497

What is the energy of formation from the pure elements in the sixth record?
278 meV per atom